DFT (PBE-GGA) results for a relaxed KAlAg2 crystal.

Structure (POSCAR):
```
KAlAg2
1.0
3.315 0.000 0.000
0.000 3.315 0.000
0.000 0.000 8.327
K Al Ag
1 1 2
direct
0.000 0.000 0.000
0.000 0.000 0.500
0.500 0.500 0.323
0.500 0.500 0.677
```

As for the final energy: -2.532 eV per atom.

---

DFT (PBE-GGA) results for a relaxed PPb2S4 crystal.

Structure (POSCAR):
```
PPb2S4
1.0
4.164 -4.176 0.000
4.164 4.176 0.000
-4.141 0.000 5.791
P Pb S
1 2 4
direct
0.000 0.000 0.000
0.178 0.678 0.500
0.678 0.178 0.500
0.121 0.121 0.395
0.344 0.929 0.000
0.726 0.726 0.604
0.929 0.344 0.000
```

For the energy above the most stable polymorph in this dataset, the calculation gives 0 meV/atom. The calculation puts the energy relative to the elements, uncorrected at -0.25 eV/atom.

---

DFT (PBE-GGA) results for a relaxed Tl2GeAsSe4 crystal.

Structure (POSCAR):
```
Tl2GeAsSe4
1.0
0.000 6.814 11.641
3.165 0.000 11.641
3.165 6.814 0.000
Tl Ge As Se
4 2 2 8
direct
0.060 0.060 0.690
0.310 0.310 0.940
0.690 0.690 0.060
0.940 0.940 0.310
0.375 0.375 0.375
0.625 0.625 0.625
0.125 0.125 0.125
0.875 0.875 0.875
0.042 0.323 0.427
0.293 0.573 0.677
0.323 0.042 0.707
0.427 0.707 0.042
0.573 0.293 0.958
0.677 0.958 0.293
0.707 0.427 0.323
0.958 0.677 0.573
```

The calculation puts the energy relative to the elements, uncorrected at -0.16 eV/atom.

---

DFT (PBE-GGA) results for a relaxed LaZrP4 crystal.

Structure (POSCAR):
```
LaZrP4
1.0
0.000 3.782 3.782
3.782 0.000 3.782
3.782 3.782 0.000
La Zr P
1 1 4
direct
0.000 0.000 0.000
0.250 0.250 0.250
0.138 0.621 0.621
0.621 0.138 0.621
0.621 0.621 0.138
0.621 0.621 0.621
```

As for the final energy: -5.985 eV per atom.

---

DFT (PBE-GGA) results for a relaxed TcAs2Pt crystal.

Structure (POSCAR):
```
TcAs2Pt
1.0
1.512 0.873 8.070
-1.512 0.873 8.070
0.000 -1.746 8.070
Tc As Pt
1 2 1
direct
0.000 0.000 0.000
0.256 0.256 0.256
0.744 0.744 0.744
0.500 0.500 0.500
```

For the energy above the most stable polymorph in this dataset, the calculation gives 63 meV/atom.

---

DFT (PBE-GGA) results for a relaxed LiCa4Al3 crystal.

Structure (POSCAR):
```
LiCa4Al3
1.0
2.657 1.534 8.677
-2.657 1.534 8.677
0.000 -3.068 8.677
Li Ca Al
1 4 3
direct
0.000 0.000 0.000
0.127 0.127 0.127
0.377 0.377 0.377
0.623 0.623 0.623
0.873 0.873 0.873
0.251 0.251 0.251
0.500 0.500 0.500
0.749 0.749 0.749
```

As for the final energy: -2.809 eV per atom.

---

DFT (PBE-GGA) results for a relaxed DySbSe2O crystal.

Structure (POSCAR):
```
DySbSe2O
1.0
3.975 0.000 0.000
0.000 3.975 0.000
0.000 0.000 14.630
Dy Sb Se O
2 2 4 2
direct
0.250 0.250 0.075
0.750 0.750 0.925
0.250 0.250 0.641
0.750 0.750 0.359
0.250 0.250 0.392
0.250 0.250 0.817
0.750 0.750 0.183
0.750 0.750 0.608
0.250 0.750 0.000
0.750 0.250 0.000
```

The calculation puts the energy relative to the elements, uncorrected at -1.66 eV/atom.

---

DFT (PBE-GGA) results for a relaxed Tb7Al2Pd2 crystal.

Structure (POSCAR):
```
Tb7Al2Pd2
1.0
3.985 -5.488 0.000
3.985 5.488 0.000
0.000 0.000 7.065
Tb Al Pd
7 2 2
direct
0.000 0.000 0.000
0.000 0.500 0.264
0.000 0.500 0.736
0.500 0.000 0.264
0.500 0.000 0.736
0.500 0.500 0.259
0.500 0.500 0.741
0.166 0.166 0.500
0.834 0.834 0.500
0.292 0.708 0.000
0.708 0.292 0.000
```

As for the final energy: -4.865 eV per atom.

---

Listing ρ for the structures above in their given order: 5114, 4730, 5768, 5435, 11506, 1943, 6583, 7411 kg/m3.